Compound: Ni23Sb6
Source: Alexandria
Functional: PBE-GGA
Structure: relaxed

Results
Its uncorrected formation energy is -0.011 eV per atom.

abc: 8.2100 8.2100 8.2100
angles: 60.00 60.00 60.00
Last column: nearest neighbours and their distance in Å.
Fractional positions:
Ni1 0.5000 0.5000 0.5000  8 Ni 2.43
Ni2 0.5000 0.0000 0.0000  8 Ni 2.37-2.54
Ni3 0.0000 0.5000 0.5000  8 Ni 2.37-2.54
Ni4 0.5000 0.5000 0.0000  8 Ni 2.37-2.54
Ni5 0.0000 0.0000 0.5000  8 Ni 2.37-2.54
Ni6 0.5000 0.0000 0.5000  8 Ni 2.37-2.54
Ni7 0.0000 0.5000 0.0000  8 Ni 2.37-2.54
Ni8 0.1374 0.6209 0.6209  7 Ni 2.43-2.55, 3 Sb 2.64
Ni9 0.6209 0.6209 0.1374  7 Ni 2.43-2.55, 3 Sb 2.64
Ni10 0.6209 0.1374 0.6209  7 Ni 2.43-2.55, 3 Sb 2.64
Ni11 0.6209 0.6209 0.6209  7 Ni 2.43-2.55, 3 Sb 2.64
Ni12 0.3791 0.3791 0.8626  7 Ni 2.43-2.55, 3 Sb 2.64
Ni13 0.8626 0.3791 0.3791  7 Ni 2.43-2.55, 3 Sb 2.64
Ni14 0.3791 0.8626 0.3791  7 Ni 2.43-2.55, 3 Sb 2.64
Ni15 0.3791 0.3791 0.3791  7 Ni 2.43-2.55, 3 Sb 2.64
Ni16 0.5163 0.8279 0.8279  9 Ni 2.37-2.56
Ni17 0.8279 0.8279 0.5163  9 Ni 2.37-2.56
Ni18 0.8279 0.5163 0.8279  9 Ni 2.37-2.56
Ni19 0.8279 0.8279 0.8279  9 Ni 2.37-2.56
Ni20 0.1721 0.1721 0.4837  9 Ni 2.37-2.56
Ni21 0.4837 0.1721 0.1721  9 Ni 2.37-2.56
Ni22 0.1721 0.4837 0.1721  9 Ni 2.37-2.56
Ni23 0.1721 0.1721 0.1721  9 Ni 2.37-2.56
Sb1 0.2289 0.7711 0.7711  12 Ni 2.64-2.91
Sb2 0.7711 0.2289 0.2289  12 Ni 2.64-2.91
Sb3 0.2289 0.2289 0.7711  12 Ni 2.64-2.91
Sb4 0.7711 0.7711 0.2289  12 Ni 2.64-2.91
Sb5 0.2289 0.7711 0.2289  12 Ni 2.64-2.91
Sb6 0.7711 0.2289 0.7711  12 Ni 2.64-2.91

=====

Compound: MnSi2Ni4
Source: Alexandria
Functional: PBE-GGA
Structure: relaxed

Results
Its relative energy among the computed polymorphs is 42 meV per atom. Its uncorrected formation energy is -0.348 eV per atom.

abc: 3.6623 6.8207 6.8207
angles: 90.00 90.00 90.00
Last column: nearest neighbours and their distance in Å.
Fractional positions:
Mn1 0.5000 0.0000 0.0000  6 Si 2.66-2.84
Mn2 0.0000 0.5000 0.5000  6 Si 2.66-2.84
Si1 0.0000 0.2247 0.7753  6 Ni 2.26-2.28
Si2 0.0000 0.7753 0.2247  6 Ni 2.26-2.28
Si3 0.5000 0.7247 0.7247  6 Ni 2.26-2.28
Si4 0.5000 0.2753 0.2753  6 Ni 2.26-2.28
Ni1 0.0000 0.0860 0.3385  3 Si 2.26-2.28, 2 Ni 2.44-2.50
Ni2 0.0000 0.9140 0.6615  3 Si 2.26-2.28, 2 Ni 2.44-2.50
Ni3 0.5000 0.1615 0.5860  3 Si 2.26-2.28, 2 Ni 2.44-2.50
Ni4 0.5000 0.8385 0.4140  3 Si 2.26-2.28, 2 Ni 2.44-2.50
Ni5 0.5000 0.4140 0.8385  3 Si 2.26-2.28, 2 Ni 2.44-2.50
Ni6 0.5000 0.5860 0.1615  3 Si 2.26-2.28, 2 Ni 2.44-2.50
Ni7 0.0000 0.3385 0.0860  3 Si 2.26-2.28, 2 Ni 2.44-2.50
Ni8 0.0000 0.6615 0.9140  3 Si 2.26-2.28, 2 Ni 2.44-2.50

=====

Compound: ScAg2Mo
Source: Alexandria
Functional: PBE-GGA
Structure: relaxed

Results
Its formation energy is 0.297 eV/atom. Its relative energy among the computed polymorphs is 154 meV per atom.

abc: 5.2144 5.2144 5.2144
angles: 134.03 134.03 67.03
Last column: nearest neighbours and their distance in Å.
Fractional positions:
Ag1 0.0000 0.0000 0.0000  4 Ag 2.88, 4 Mo 2.98, 4 Sc 2.98
Ag2 0.5000 0.5000 0.0000  4 Ag 2.88, 4 Mo 2.98, 4 Sc 2.98
Mo1 0.2500 0.7500 0.5000  4 Sc 2.88, 8 Ag 2.98
Sc1 0.7500 0.2500 0.5000  4 Mo 2.88, 8 Ag 2.98

=====

Compound: AlC2
Source: Alexandria
Functional: PBE-GGA
Structure: relaxed

Results
Its formation energy is 0.562 eV/atom. Its relative energy among the computed polymorphs is 275 meV per atom.

abc: 3.0991 3.0991 7.5017
angles: 90.00 90.00 120.00
Last column: nearest neighbours and their distance in Å.
Fractional positions:
Al1 0.0000 0.0000 0.0000  6 C 2.17
Al2 0.0000 0.0000 0.5000  6 C 2.17
C1 0.3333 0.6667 0.8363  1 C 1.30
C2 0.6667 0.3333 0.3363  1 C 1.30
C3 0.3333 0.6667 0.6637  1 C 1.30
C4 0.6667 0.3333 0.1637  1 C 1.30

=====

Compound: Sr2ZrAg2O6
Source: Alexandria
Functional: PBE-GGA
Structure: relaxed

Results
Its uncorrected formation energy is -1.707 eV per atom.

abc: 6.3092 6.3092 6.5992
angles: 61.44 61.44 60.00
Last column: nearest neighbours and their distance in Å.
Fractional positions:
Sr1 0.7952 0.7952 0.6143  3 O 2.50
Sr2 0.2048 0.2048 0.3857  3 O 2.50
Zr1 0.0000 0.0000 0.0000  6 O 2.12
Ag1 0.4128 0.4128 0.7615  3 O 2.09
Ag2 0.5872 0.5872 0.2385  3 O 2.09
O1 0.7706 0.7706 0.2598  1 Ag 2.09, 1 Zr 2.12
O2 0.1990 0.7706 0.2598  1 Ag 2.09, 1 Zr 2.12
O3 0.7706 0.1990 0.2598  1 Ag 2.09, 1 Zr 2.12
O4 0.2294 0.8010 0.7402  1 Ag 2.09, 1 Zr 2.12
O5 0.8010 0.2294 0.7402  1 Ag 2.09, 1 Zr 2.12
O6 0.2294 0.2294 0.7402  1 Ag 2.09, 1 Zr 2.12

=====

Compound: Sc2ZnIr
Source: Alexandria
Functional: PBE-GGA
Structure: relaxed

Results
Its formation energy is -0.204 eV/atom. Its relative energy among the computed polymorphs is 518 meV per atom.

abc: 7.4954 7.4954 5.9874
angles: 51.25 51.25 90.00
Last column: nearest neighbours and their distance in Å.
Fractional positions:
Sc1 0.6598 0.1250 0.2500  2 Ir 2.57, 2 Sc 2.83
Sc2 0.0902 0.6250 0.2500  2 Ir 2.57, 2 Sc 2.83
Sc3 0.3750 0.3402 0.7500  2 Ir 2.57, 2 Sc 2.83
Sc4 0.8750 0.9098 0.7500  2 Ir 2.57, 2 Sc 2.83
Zn1 0.5000 0.5000 0.0000  2 Ir 2.79, 4 Sc 2.92
Zn2 0.2500 0.7500 0.5000  2 Ir 2.79, 4 Sc 2.92
Ir1 0.0000 0.0000 0.0000  4 Sc 2.57, 2 Zn 2.79
Ir2 0.7500 0.2500 0.5000  4 Sc 2.57, 2 Zn 2.79

=====

Compound: GeCF
Source: Alexandria
Functional: PBE-GGA
Structure: relaxed

Results
Its relative energy among the computed polymorphs is 81 meV per atom. Its uncorrected formation energy is -0.533 eV per atom.

abc: 4.1033 4.6149 5.2096
angles: 83.62 87.59 88.24
Last column: nearest neighbours and their distance in Å.
Fractional positions:
Ge1 0.5158 0.4162 0.2415  1 F 1.80, 2 C 2.00
Ge2 0.4842 0.5838 0.7585  1 F 1.80, 2 C 2.00
C1 0.8390 0.5044 0.4984  1 C 1.32
C2 0.1610 0.4956 0.5016  1 C 1.32
F1 0.4365 0.9733 0.7606  1 Ge 1.80
F2 0.5635 0.0267 0.2394  1 Ge 1.80

=====

Compound: Ca2LaRu
Source: Alexandria
Functional: PBE-GGA
Structure: relaxed

Results
Its formation energy is 0.244 eV/atom. Its relative energy among the computed polymorphs is 397 meV per atom.

abc: 6.2956 6.2956 6.2956
angles: 138.73 138.73 59.79
Last column: nearest neighbours and their distance in Å.
Fractional positions:
Ru1 0.7500 0.2500 0.5000  4 La 3.14
Ca1 0.0000 0.0000 0.0000  4 Ca 3.14
Ca2 0.5000 0.5000 0.0000  4 Ca 3.14
La1 0.2500 0.7500 0.5000  4 Ru 3.14

=====

| no. | V (Å³/atom) | ρ (g/cm3) |
| --- | --- | --- |
| 1 | 13.49 | 8.8 |
| 2 | 12.17 | 6.7 |
| 3 | 18.02 | 8.2 |
| 4 | 10.40 | 2.7 |
| 5 | 17.25 | 5.1 |
| 6 | 19.56 | 7.4 |
| 7 | 16.32 | 3.5 |
| 8 | 26.87 | 4.9 |